A relaxed MnSbPb2Cl crystal. Source: Alexandria via LeMat-Bulk, functional PBE.

abc: 6.1171 6.1171 4.9580
angles: 90.00 90.00 90.00
Element x y z (fractional)
Mn1 0.0000 0.0000 0.0000
Sb1 0.0000 0.0000 0.5000
Pb1 0.0000 0.5000 0.5000
Pb2 0.5000 0.0000 0.5000
Cl1 0.5000 0.5000 0.0000

Summary:
total magnetic moment: 3.49 μB per formula unit
energy relative to the elements, uncorrected: 0.427 eV/atom
E_tot: -20.42 eV/cell
calculated volume: 186 Å³ per cell